Bi4Te3Se3 (PBEsol, relaxed); space-group type = Cm, No. 8; formation energy without anion corrections = -0.31 eV per atom
1.0
9.975 -2.124 0.000
9.975 2.124 0.000
-0.909 0.000 7.297
Bi Te Se
4 3 3
Cartesian
0.000 0.000 0.000
3.349 0.000 2.850
9.538 0.000 3.578
12.912 0.000 6.499
5.450 0.000 0.663
7.461 0.000 5.827
14.968 0.000 4.262
1.207 0.000 5.060
11.670 0.000 1.398
18.132 0.000 2.205